# Pm2PaBi (PBE, relaxed)
data_Pm2PaBi
_chemical_formula_sum 'Pm2 Pa1 Bi1'
_space_group_name_H-M_alt 'P 1'
_space_group_IT_number 1
_cell_length_a 4.569
_cell_length_b 5.019
_cell_length_c 5.019
_cell_angle_alpha 90.00
_cell_angle_beta 90.00
_cell_angle_gamma 90.00
loop_
_space_group_symop_operation_xyz
'x,y,z'
loop_
_atom_site_label
_atom_site_fract_x
_atom_site_fract_y
_atom_site_fract_z
Pm1 0.000 0.500 0.000
Pm2 0.000 0.000 0.500
Bi1 0.500 0.000 0.000
Pa1 0.500 0.500 0.500
# * DFT formation energy: -0.150 eV/atom
# * mass density: 10.53 g cm⁻³
# * ΔE to the lowest computed polymorph: 0.007 eV per atom
# * magnetization: 0.35 μB/f.u.